[1]
The following is a PBE calculation of Cu2HgMo after structural relaxation, from Alexandria.

Structure (POSCAR):
```
Cu2HgMo
1.0
9.301 -0.007 -0.004
8.877 2.775 -0.004
8.877 1.352 2.424
Cu Hg Mo
2 1 1
direct
0.005 0.005 0.005
0.495 0.495 0.495
0.250 0.250 0.250
0.750 0.750 0.750
```

Output
- E (eV per atom) = -4.461
- V (Å³/atom) = 15.7
- energy of formation from the pure elements (eV/atom) = 0.37
- mass density (g/cm³) = 11.2

***

[2]
The following is a PBE calculation of SiIrPb2 after structural relaxation, from Alexandria.

Structure (POSCAR):
```
SiIrPb2
1.0
6.294 0.000 0.000
0.000 6.294 0.000
3.147 3.147 6.115
Si Pb Ir
2 4 2
direct
0.250 0.750 0.500
0.500 0.500 0.000
0.635 0.125 0.250
0.115 0.625 0.250
0.375 0.365 0.750
0.875 0.885 0.750
0.000 0.000 0.000
0.750 0.250 0.500
```

Output
- E (eV per atom) = -4.676
- formation energy without anion corrections (kJ/mol of atoms) = 72.3
- V (Å³/atom) = 30.3
- mass density (g/cm³) = 8.7

***

[3]
The following is a PBE calculation of LiAuS2Cl after structural relaxation, from Alexandria.

Structure (POSCAR):
```
LiAuS2Cl
1.0
4.845 0.000 0.000
0.000 4.845 0.000
0.000 0.000 5.195
Li S Au Cl
1 2 1 1
direct
0.500 0.500 0.500
0.000 0.500 0.000
0.500 0.000 0.000
0.000 0.000 0.000
0.000 0.000 0.500
```

Output
- E (eV per atom) = -2.985
- formation energy without anion corrections (kJ/mol of atoms) = 7.1
- V (Å³/atom) = 24.4
- mass density (g/cm³) = 4.1

***

[4]
The following is a PBE calculation of ZnHgS2 after structural relaxation, from Alexandria.

Structure (POSCAR):
```
ZnHgS2
1.0
17.543 0.000 -2.528
3.415 4.772 -5.128
-3.415 4.772 5.128
Zn S Hg
8 16 8
direct
0.843 0.939 0.858
0.156 0.121 0.676
0.157 0.061 0.142
0.344 0.176 0.621
0.844 0.879 0.324
0.656 0.824 0.379
0.657 0.358 0.439
0.343 0.642 0.561
0.750 0.705 0.205
0.250 0.295 0.795
0.055 0.262 0.837
0.445 0.337 0.762
0.738 0.791 0.731
0.565 0.189 0.358
0.065 0.142 0.311
0.262 0.209 0.269
0.945 0.738 0.163
0.250 0.694 0.194
0.555 0.663 0.238
0.435 0.811 0.642
0.750 0.306 0.806
0.935 0.858 0.689
0.762 0.231 0.291
0.238 0.769 0.709
0.408 0.916 0.262
0.908 0.238 0.584
0.592 0.084 0.738
0.613 0.630 0.889
0.387 0.370 0.111
0.113 0.611 0.870
0.092 0.762 0.416
0.887 0.389 0.130
```

Output
- E (eV per atom) = -2.804
- formation energy without anion corrections (kJ/mol of atoms) = -33.4
- V (Å³/atom) = 24.3
- mass density (g/cm³) = 5.6

***

[5]
The following is a PBE calculation of YCo2As after structural relaxation, from Alexandria.

Structure (POSCAR):
```
YCo2As
1.0
-1.703 1.008 -3.460
-3.972 0.166 -0.291
-1.793 5.095 0.070
Co As Y
2 1 1
direct
0.699 0.699 0.903
0.013 0.013 0.960
0.292 0.292 0.124
0.496 0.496 0.513
```

Output
- E (eV per atom) = -6.806
- V (Å³/atom) = 16.8
- energy of formation from the pure elements (eV/atom) = -0.47
- mass density (g/cm³) = 7.0

***

[6]
The following is a PBE calculation of BaNaBi2 after structural relaxation, from Alexandria.

Structure (POSCAR):
```
BaNaBi2
1.0
0.000 4.150 4.150
4.150 0.000 4.150
4.150 4.150 0.000
Bi Ba Na
2 1 1
direct
0.250 0.250 0.250
0.750 0.750 0.750
0.500 0.500 0.500
0.000 0.000 0.000
```

Output
- E (eV per atom) = -3.196
- V (Å³/atom) = 35.7
- energy of formation from the pure elements (eV/atom) = -0.45
- mass density (g/cm³) = 6.7

***

[7]
The following is a PBE calculation of RbBa2LiGa after structural relaxation, from Alexandria.

Structure (POSCAR):
```
RbBa2LiGa
1.0
-1.407 0.050 -6.538
6.508 -0.633 -1.405
-0.524 -5.548 0.070
Ga Ba Li Rb
1 2 1 1
direct
0.000 0.000 0.000
0.000 0.500 0.000
0.500 0.000 0.000
0.000 0.000 0.500
0.500 0.500 0.500
```

Output
- E (eV per atom) = -1.929
- V (Å³/atom) = 49.9
- energy of formation from the pure elements (eV/atom) = 0.02
- mass density (g/cm³) = 2.9

***

[8]
The following is a PBE calculation of RbTlCu2Br4 after structural relaxation, from Alexandria.

Structure (POSCAR):
```
RbTlCu2Br4
1.0
7.933 0.000 0.000
3.966 5.910 -0.150
3.966 0.335 5.903
Br Tl Rb Cu
4 1 1 2
direct
0.593 0.515 0.895
0.998 0.895 0.515
0.002 0.485 0.105
0.407 0.105 0.485
0.500 0.500 0.500
0.000 0.000 0.000
0.840 0.660 0.660
0.160 0.340 0.340
```

Output
- E (eV per atom) = -3.054
- formation energy without anion corrections (kJ/mol of atoms) = -75.0
- V (Å³/atom) = 34.6
- mass density (g/cm³) = 4.4